Compound: CsNd2C
Source: Alexandria
Functional: PBE-GGA
Structure: relaxed

The structure in POSCAR format:
```
CsNd2C
1.0
-2.9641 -0.6300 -2.2825
0.4691 -1.9394 -3.2267
-2.9659 -10.3384 3.5525
Nd C Cs
2 1 1
direct
0.8750 0.8750 0.3751 Nd
0.1250 0.1250 0.6249 Nd
0.5000 0.5000 0.5000 C
0.0000 0.0000 0.0000 Cs
```

Output
Total energy ... -4.761 eV per atom
Formation enthalpy at 0 K ... 0.143 eV per atom
Space group ... R-3m